First-principles (GGA-PBE) data for a relaxed MgMoAs2 crystal, as listed in the Alexandria database.

Cell: 5.972 6.763 3.319 Å, 90.00 90.00 90.00°
Space group Cmmm (No. 65)
One atom of each set of equivalent atoms:
Mg  0.000  0.000  0.000 [2 per cell]
Mo  0.000  0.500  0.000 [2 per cell]
As  0.250  0.250  0.500 [4 per cell]

## Properties
DFT formation energy: 53 meV per atom